Record 1
# TlFe2Br6Cl2

A relaxed structure of TlFe2Br6Cl2 (PBE, Alexandria).

Geometry as extended XYZ:
```
11
Lattice="7.029 0.000 0.000 -3.515 6.087 0.000 0.000 0.000 9.836" Properties=species:S:1:pos:R:3 pbc="T T T"
Tl 0.000 0.000 0.000
Fe 0.000 4.058 7.267
Fe 3.515 2.029 2.569
Br 1.151 2.137 8.059
Br -2.240 4.022 8.059
Br 1.088 6.016 8.059
Br 2.363 3.950 1.777
Br 5.754 2.066 1.777
Br 2.426 0.071 1.777
Cl 0.000 4.058 5.127
Cl 3.515 2.029 4.709
```

Results
Uncorrected formation energy = -561 meV per atom
SG = P-3 (147)

---

Record 2
# Hf2TiOs

A relaxed structure of Hf2TiOs (PBE, Alexandria).

Geometry as extended XYZ:
```
4
Lattice="3.237 0.000 0.000 0.000 3.237 0.000 0.000 0.000 7.074" Properties=species:S:1:pos:R:3 pbc="T T T"
Hf 0.000 0.000 5.446
Hf 0.000 0.000 1.628
Os 1.618 1.618 0.000
Ti 1.618 1.618 3.537
```

Results
SG = P4/mmm (123)
Energy of formation = -1.183 eV per formula unit

---

Record 3
# Ca2SeBr

A relaxed structure of Ca2SeBr (PBE, Alexandria).

Geometry as extended XYZ:
```
8
Lattice="-2.465 1.863 -5.906 -0.791 -6.399 -1.689 -7.797 -2.192 -1.198" Properties=species:S:1:pos:R:3 pbc="T T T"
Ca -3.535 -0.224 -4.072
Ca -2.806 -4.273 -2.223
Ca -7.086 -3.485 -3.784
Ca -8.679 -5.472 -7.507
Se -1.628 -2.268 -3.797
Se -5.108 -5.429 -3.342
Br 0.000 0.000 0.000
Br -5.945 -1.298 -5.450
```

Results
Uncorrected formation energy = -1454 meV per atom
SG = I-42d (122)
Energy relative to the lowest polymorph listed for this composition = 0.194 eV per atom

---

What is the formula in the third record? Ca2SeBr